Entry 1:
DFT (PBE) results for NdZn2Hg2 after structural relaxation.

Summary:
Formation enthalpy at 0 K = -242.8 meV/atom
Calculated volume = 228.2 Å³ per cell

abc: 6.0349 6.3974 7.3835
angles: 84.13 65.93 61.93
Fractional coordinates of all 10 atoms:
Nd  0.0998  0.2508  0.2499
Nd  0.9002  0.7492  0.7501
Zn  0.2624  0.8236  0.9404
Zn  0.4721  0.3244  0.4397
Zn  0.5279  0.6756  0.5603
Zn  0.7376  0.1764  0.0596
Hg  0.1189  0.1645  0.6779
Hg  0.4629  0.3338  0.8211
Hg  0.5371  0.6662  0.1789
Hg  0.8811  0.8355  0.3221

Entry 2:
DFT (PBE) results for TaAsCl2 after structural relaxation.

Summary:
Distance to the lowest polymorph of the same formula = 485.3 meV per atom
Energy relative to the elements, uncorrected = -0.60 eV/f.u.
Calculated volume = 85.2 Å³ per cell

abc: 2.8542 3.2862 9.0815
angles: 90.00 90.00 90.00
Fractional coordinates of all 4 atoms:
Ta  0.0000  0.0000  0.0000
As  0.5000  0.5000  0.8136
Cl  0.0000  0.0000  0.5056
Cl  0.5000  0.5000  0.1814

Entry 3:
DFT (PBE) results for YNbGa after structural relaxation.

Summary:
Formation enthalpy at 0 K = -422.8 meV/atom
Calculated volume = 132.1 Å³ per cell

abc: 4.0587 4.0587 8.0216
angles: 90.00 90.00 90.00
Fractional coordinates of all 6 atoms:
Y  0.2500  0.2500  0.1581
Y  0.7500  0.7500  0.8419
Nb  0.2500  0.7500  0.5000
Nb  0.7500  0.2500  0.5000
Ga  0.2500  0.2500  0.7480
Ga  0.7500  0.7500  0.2520

Entry 4:
DFT (PBE) results for La3TcCl2 after structural relaxation.

Summary:
Energy relative to the elements, uncorrected = -6.43 eV/f.u.
Calculated volume = 347.9 Å³ per cell

abc: 7.2928 7.2928 7.9097
angles: 98.44 98.44 120.10
Fractional coordinates of all 12 atoms:
La  0.0673  0.4269  0.7882
La  0.2111  0.2111  0.2129
La  0.4269  0.0673  0.7882
La  0.5731  0.9327  0.2118
La  0.7889  0.7889  0.7871
La  0.9327  0.5731  0.2118
Tc  0.1649  0.8351  0.0000
Tc  0.8351  0.1649  0.0000
Cl  0.0000  0.0000  0.5000
Cl  0.3325  0.6675  0.5000
Cl  0.5000  0.5000  0.0000
Cl  0.6675  0.3325  0.5000

Entry 5:
DFT (PBE) results for CdS2Cl after structural relaxation.

Summary:
Distance to the lowest polymorph of the same formula = 358.7 meV per atom
Energy relative to the elements, uncorrected = -0.03 eV/f.u.
Calculated volume = 100.3 Å³ per cell

abc: 7.6433 7.6433 7.6433
angles: 30.23 30.23 30.23
Fractional coordinates of all 4 atoms:
Cd  0.0000  0.0000  0.0000
S  0.3947  0.3947  0.3947
S  0.6053  0.6053  0.6053
Cl  0.5000  0.5000  0.5000

Entry 6:
DFT (PBE) results for HoAlIrPd after structural relaxation.

Summary:
Formation enthalpy at 0 K = -812.3 meV/atom
Calculated volume = 69.6 Å³ per cell

abc: 4.6170 4.6170 4.6170
angles: 60.00 60.00 60.00
Fractional coordinates of all 4 atoms:
Ho  0.0000  0.0000  0.0000
Al  0.5000  0.5000  0.5000
Ir  0.7500  0.7500  0.7500
Pd  0.2500  0.2500  0.2500